## A
PBE Ag2Mo2As, relaxed; total magnetization = 0.0 μB/f.u.
1.0
3.600 0.000 0.000
0.000 3.600 0.000
1.800 1.800 7.094
Ag Mo As
2 2 1
Direct
0.750 0.250 0.500
0.250 0.750 0.500
0.417 0.417 0.166
0.583 0.583 0.834
0.000 0.000 0.000

---

## B
PBE Ag2Mo2As, relaxed; total magnetization = 0.0 μB/f.u.
1.0
6.330 0.000 0.000
0.000 6.330 0.000
0.000 0.000 4.571
Mo As Ag
4 2 4
Direct
0.868 0.632 0.000
0.368 0.868 0.000
0.132 0.368 0.000
0.632 0.132 0.000
0.500 0.500 0.000
0.000 0.000 0.000
0.166 0.666 0.500
0.334 0.166 0.500
0.834 0.334 0.500
0.666 0.834 0.500

---

Which of them is the most stable, and which is the least stable? B and A, in that order.